# 1
This record from the Alexandria database describes BeNiNF2 after structural relaxation. The functional is PBE+U. Values from VASP.

The structure in Quantum ESPRESSO input format:
```
&SYSTEM
  ibrav = 0, nat = 5, ntyp = 4
/
ATOMIC_SPECIES
Ni 58.69 Ni.upf
N 14.01 N.upf
Be 9.01 Be.upf
F 19.00 F.upf
CELL_PARAMETERS angstrom
-2.563 0.176 -1.726
1.128 -2.170 -1.897
-2.411 -4.024 3.170
ATOMIC_POSITIONS crystal
Ni 0.500 0.500 0.500
N 0.000 0.000 0.500
Be 0.000 0.000 0.000
F 0.000 0.500 0.000
F 0.500 0.000 0.000
```

Summary:
- N(E_F): 0.204 states/eV/atom
- E: -4.551 eV per atom
- Offset from the most stable computed form: 0.0000 eV/atom
- SG: P4/mmm, No. 123

***

# 2
This record from the Alexandria database describes BeNiNF2 after structural relaxation. The functional is PBE+U. Values from VASP.

The structure in Quantum ESPRESSO input format:
```
&SYSTEM
  ibrav = 0, nat = 5, ntyp = 4
/
ATOMIC_SPECIES
Ni 58.69 Ni.upf
N 14.01 N.upf
Be 9.01 Be.upf
F 19.00 F.upf
CELL_PARAMETERS angstrom
-1.837 0.828 -3.143
-1.264 -3.508 -0.186
-3.217 1.045 2.156
ATOMIC_POSITIONS crystal
Ni 0.000 0.000 0.000
N 0.000 0.000 0.500
Be 0.500 0.500 0.500
F 0.000 0.500 0.000
F 0.500 0.000 0.000
```

Summary:
- N(E_F): 0.348 states/eV/atom
- E: -3.766 eV per atom
- Offset from the most stable computed form: 0.7851 eV/atom
- SG: P4/mmm, No. 123